# 1
Density functional theory data (PBE-GGA) for a relaxed Tm2Tl2C crystal.

The structure in extended XYZ format:
```
5
Lattice="3.1116 -1.7957 0.0000 3.1116 1.7957 0.0000 -2.0892 0.0000 10.3474" Properties=species:S:1:pos:R:3 pbc="T T T"
Tm -0.0077 0.0000 3.8885
Tm 4.1416 0.0000 6.4589
Tl -0.0104 0.0000 9.1117
Tl 4.1444 0.0000 1.2357
C 2.0670 0.0000 5.1737
```

## Properties
formation enthalpy at 0 K	-0.31	eV per atom
magnetic moment	0.00	μB per atom


# 2
Density functional theory data (PBE-GGA) for a relaxed Tm6Tl2C crystal.

The structure in extended XYZ format:
```
9
Lattice="3.5400 0.0000 0.0000 0.0000 7.4318 4.2902 0.0000 -7.4318 4.2902" Properties=species:S:1:pos:R:3 pbc="T T T"
Tm 0.0000 0.0000 0.0000
Tm 0.0000 -1.5853 5.8361
Tm 0.0000 1.5853 5.8361
Tm 1.7700 -4.4082 4.2115
Tm 1.7700 0.0000 3.2561
Tm 1.7700 4.4082 4.2115
Tl 0.0000 -2.4790 2.4660
Tl 0.0000 2.4790 2.4660
C 1.7700 0.0000 6.7484
```

## Properties
formation enthalpy at 0 K	-0.15	eV per atom
magnetic moment	0.00	μB per atom


# 3
Density functional theory data (PBE-GGA) for a relaxed Tm6Tl3C crystal.

The structure in extended XYZ format:
```
10
Lattice="5.7399 -3.4265 0.0000 5.7399 3.4265 0.0000 -1.4300 0.0000 6.7516" Properties=species:S:1:pos:R:3 pbc="T T T"
Tm 3.6438 1.7730 4.3686
Tm 0.6538 0.0000 5.5532
Tm 6.4060 1.7730 2.3830
Tm 3.6438 -1.7730 4.3686
Tm 9.3960 0.0000 1.1984
Tm 6.4060 -1.7730 2.3830
Tl 3.2943 0.0000 1.8343
Tl 5.7399 0.0000 0.0000
Tl 6.7555 0.0000 4.9172
C -0.7150 0.0000 3.3758
```

## Properties
formation enthalpy at 0 K	-0.22	eV per atom
magnetic moment	0.00	μB per atom


# 4
Density functional theory data (PBE-GGA) for a relaxed Tm4TlC crystal.

The structure in extended XYZ format:
```
12
Lattice="7.4942 -3.0037 0.0000 7.4942 3.0037 0.0000 -1.8853 0.0000 6.5169" Properties=species:S:1:pos:R:3 pbc="T T T"
Tm 0.6945 0.5091 2.8920
Tm -0.2482 -0.5091 6.1505
Tm 3.0223 0.4073 5.4476
Tm 3.9649 -0.4073 2.1891
Tm 9.1382 0.4073 4.3277
Tm 10.0808 -0.4073 1.0693
Tm 13.3512 0.5091 0.3664
Tm 12.4086 -0.5091 3.6249
Tl 7.0228 0.5736 1.6292
Tl 6.0802 -0.5736 4.8877
C 2.8044 1.5018 3.2584
C 3.7471 -1.5018 0.0000
```

## Properties
formation enthalpy at 0 K	-0.22	eV per atom
magnetic moment	0.00	μB per atom


# 5
Density functional theory data (PBE-GGA) for a relaxed YTm2TlC crystal.

The structure in extended XYZ format:
```
5
Lattice="4.8434 0.0000 0.0000 0.0000 4.8434 0.0000 0.0000 0.0000 4.9186" Properties=species:S:1:pos:R:3 pbc="T T T"
Y 0.0000 0.0000 0.0000
Tm 0.0000 2.4217 2.4593
Tm 2.4217 0.0000 2.4593
Tl 2.4217 2.4217 0.0000
C 0.0000 0.0000 2.4593
```

## Properties
formation enthalpy at 0 K	-0.50	eV per atom
magnetic moment	0.00	μB per atom


# 6
Density functional theory data (PBE-GGA) for a relaxed Y2TmTlC crystal.

The structure in extended XYZ format:
```
5
Lattice="4.9273 0.0000 0.0000 0.0000 4.9273 0.0000 0.0000 0.0000 4.8473" Properties=species:S:1:pos:R:3 pbc="T T T"
Y 0.0000 2.4637 0.0000
Y 2.4637 0.0000 0.0000
Tm 0.0000 0.0000 2.4236
Tl 2.4637 2.4637 2.4236
C 0.0000 0.0000 0.0000
```

## Properties
formation enthalpy at 0 K	-0.50	eV per atom
magnetic moment	0.00	μB per atom


# 7
Density functional theory data (PBE-GGA) for a relaxed TmZrTlC crystal.

The structure in extended XYZ format:
```
4
Lattice="1.7284 0.9979 7.8098 -1.7284 0.9979 7.8098 0.0000 -1.9957 7.8098" Properties=species:S:1:pos:R:3 pbc="T T T"
Tm 0.0000 0.0000 0.0000
Zr 0.0000 0.0000 18.1864
Tl 0.0000 0.0000 5.1497
C 0.0000 0.0000 9.2427
```

## Properties
formation enthalpy at 0 K	-0.50	eV per atom
magnetic moment	0.00	μB per atom


# 8
Density functional theory data (PBE-GGA) for a relaxed UTlC crystal.

The structure in extended XYZ format:
```
6
Lattice="3.3175 -1.9167 0.0000 3.3175 1.9167 0.0000 -2.2254 0.0000 10.4801" Properties=species:S:1:pos:R:3 pbc="T T T"
U -0.0068 0.0000 3.8402
U 4.4163 0.0000 6.6399
Tl 2.2094 0.0000 1.1807
Tl 2.2001 0.0000 9.2994
C -0.0060 0.0000 6.1365
C 4.4155 0.0000 4.3436
```

## Properties
formation enthalpy at 0 K	0.16	eV per atom
magnetic moment	0.39	μB per atom


# 9
Density functional theory data (PBE-GGA) for a relaxed TlV2C crystal.

The structure in extended XYZ format:
```
4
Lattice="0.0000 3.0429 3.0429 3.0429 0.0000 3.0429 3.0429 3.0429 0.0000" Properties=species:S:1:pos:R:3 pbc="T T T"
Tl 0.0000 0.0000 0.0000
V 1.5215 1.5215 1.5215
V 4.5644 4.5644 4.5644
C 3.0429 3.0429 3.0429
```

## Properties
formation enthalpy at 0 K	1.43	eV per atom
magnetic moment	0.20	μB per atom


# 10
Density functional theory data (PBE-GGA) for a relaxed Tl2VC crystal.

The structure in extended XYZ format:
```
4
Lattice="0.0000 3.3893 3.3893 3.3893 0.0000 3.3893 3.3893 3.3893 0.0000" Properties=species:S:1:pos:R:3 pbc="T T T"
Tl 1.6946 1.6946 1.6946
Tl 5.0839 5.0839 5.0839
V 0.0000 0.0000 0.0000
C 3.3893 3.3893 3.3893
```

## Properties
formation enthalpy at 0 K	1.67	eV per atom
polymorph energy (0 for the lowest one)	2.98	eV/f.u.
magnetic moment	0.75	μB per atom


# 11
Density functional theory data (PBE-GGA) for a relaxed TlVC3 crystal.

The structure in extended XYZ format:
```
5
Lattice="4.0569 0.0000 0.0000 0.0000 4.0569 0.0000 0.0000 0.0000 4.0569" Properties=species:S:1:pos:R:3 pbc="T T T"
Tl 0.0000 0.0000 0.0000
V 2.0285 2.0285 2.0285
C 0.0000 2.0285 2.0285
C 2.0285 0.0000 2.0285
C 2.0285 2.0285 0.0000
```

## Properties
formation enthalpy at 0 K	1.74	eV per atom
polymorph energy (0 for the lowest one)	0.00	eV/f.u.
magnetic moment	0.00	μB per atom


# 12
Density functional theory data (PBE-GGA) for a relaxed TlVC3 crystal.

The structure in extended XYZ format:
```
5
Lattice="4.3187 0.0000 0.0000 0.0000 4.3187 0.0000 0.0000 0.0000 4.3187" Properties=species:S:1:pos:R:3 pbc="T T T"
Tl 0.0000 0.0000 0.0000
V 2.1593 2.1593 2.1593
C 0.0000 0.0000 2.1593
C 0.0000 2.1593 0.0000
C 2.1593 0.0000 0.0000
```

## Properties
formation enthalpy at 0 K	3.52	eV per atom
polymorph energy (0 for the lowest one)	8.89	eV/f.u.
magnetic moment	0.43	μB per atom


# 13
Density functional theory data (PBE-GGA) for a relaxed Tl2VC crystal.

The structure in extended XYZ format:
```
8
Lattice="-4.7553 4.7553 1.9862 4.7553 -4.7553 1.9862 4.7553 4.7553 -1.9862" Properties=species:S:1:pos:R:3 pbc="T T T"
Tl 0.9632 2.3776 0.4966
Tl -2.3776 3.7920 1.4897
Tl -0.9632 7.1329 0.4966
Tl 2.3776 5.7185 1.4897
V 4.7553 0.0000 0.9931
V 0.0000 0.0000 1.9862
C 0.0000 0.0000 0.0000
C 0.0000 4.7553 0.9931
```

## Properties
formation enthalpy at 0 K	0.93	eV per atom
polymorph energy (0 for the lowest one)	0.00	eV/f.u.
magnetic moment	0.53	μB per atom


# 14
Density functional theory data (PBE-GGA) for a relaxed TlV2C crystal.

The structure in extended XYZ format:
```
8
Lattice="-2.5883 2.5883 5.4983 2.5883 -2.5883 5.4983 2.5883 2.5883 -5.4983" Properties=species:S:1:pos:R:3 pbc="T T T"
Tl 2.5883 1.2942 1.3746
Tl 0.0000 1.2942 4.1237
V 0.0000 0.0000 0.0000
V 1.2942 1.2942 -2.7492
V 1.2942 -1.2942 2.7492
V 0.0000 2.5883 0.0000
C 2.5883 -1.2942 4.1237
C 0.0000 3.8825 1.3746
```

## Properties
formation enthalpy at 0 K	0.66	eV per atom
magnetic moment	0.00	μB per atom


# 15
Density functional theory data (PBE-GGA) for a relaxed TlVW2C crystal.

The structure in extended XYZ format:
```
5
Lattice="4.9969 0.0000 0.0000 0.0000 4.9969 0.0000 0.0000 0.0000 4.8006" Properties=species:S:1:pos:R:3 pbc="T T T"
Tl 0.0000 0.0000 0.0000
V 0.0000 0.0000 2.4003
W 0.0000 2.4984 0.0000
W 2.4984 0.0000 0.0000
C 2.4984 2.4984 2.4003
```

## Properties
formation enthalpy at 0 K	4.17	eV per atom
magnetic moment	0.26	μB per atom


# 16
Density functional theory data (PBE-GGA) for a relaxed TlV2ZnC crystal.

The structure in extended XYZ format:
```
5
Lattice="5.1780 0.0000 0.0000 0.0000 5.1780 0.0000 0.0000 0.0000 4.8530" Properties=species:S:1:pos:R:3 pbc="T T T"
Tl 0.0000 0.0000 0.0000
V 0.0000 2.5890 0.0000
V 2.5890 0.0000 0.0000
Zn 0.0000 0.0000 2.4265
C 2.5890 2.5890 2.4265
```

## Properties
formation enthalpy at 0 K	2.63	eV per atom
magnetic moment	0.91	μB per atom


# 17
Density functional theory data (PBE-GGA) for a relaxed TlWC3 crystal.

The structure in extended XYZ format:
```
5
Lattice="4.2043 0.0000 0.0000 0.0000 4.2043 0.0000 0.0000 0.0000 4.2043" Properties=species:S:1:pos:R:3 pbc="T T T"
Tl 0.0000 0.0000 0.0000
W 2.1022 2.1022 2.1022
C 0.0000 2.1022 2.1022
C 2.1022 0.0000 2.1022
C 2.1022 2.1022 0.0000
```

## Properties
formation enthalpy at 0 K	1.73	eV per atom
polymorph energy (0 for the lowest one)	0.00	eV/f.u.
magnetic moment	0.00	μB per atom


# 18
Density functional theory data (PBE-GGA) for a relaxed Tl2WC crystal.

The structure in extended XYZ format:
```
4
Lattice="0.0000 3.3916 3.3916 3.3916 0.0000 3.3916 3.3916 3.3916 0.0000" Properties=species:S:1:pos:R:3 pbc="T T T"
Tl 1.6958 1.6958 1.6958
Tl 5.0874 5.0874 5.0874
W 0.0000 0.0000 0.0000
C 3.3916 3.3916 3.3916
```

## Properties
formation enthalpy at 0 K	2.32	eV per atom
polymorph energy (0 for the lowest one)	3.97	eV/f.u.
magnetic moment	0.44	μB per atom


# 19
Density functional theory data (PBE-GGA) for a relaxed TlW2C crystal.

The structure in extended XYZ format:
```
8
Lattice="-2.5876 2.5876 5.9092 2.5876 -2.5876 5.9092 2.5876 2.5876 -5.9092" Properties=species:S:1:pos:R:3 pbc="T T T"
Tl 0.0000 0.0000 0.0000
Tl 0.0000 2.5876 2.9546
W 1.2938 -0.4704 4.4319
W 2.1172 1.2938 1.4773
W 1.2938 3.0579 -1.4773
W 0.4704 1.2938 7.3865
C 2.5876 0.0000 2.9546
C 0.0000 0.0000 5.9092
```

## Properties
formation enthalpy at 0 K	1.29	eV per atom
polymorph energy (0 for the lowest one)	0.00	eV/f.u.
magnetic moment	0.00	μB per atom


# 20
Density functional theory data (PBE-GGA) for a relaxed TlWC3 crystal.

The structure in extended XYZ format:
```
5
Lattice="4.2105 0.0000 0.0000 0.0000 4.2105 0.0000 0.0000 0.0000 4.2105" Properties=species:S:1:pos:R:3 pbc="T T T"
Tl 0.0000 0.0000 0.0000
W 2.1053 2.1053 2.1053
C 0.0000 0.0000 2.1053
C 0.0000 2.1053 0.0000
C 2.1053 0.0000 0.0000
```

## Properties
formation enthalpy at 0 K	3.94	eV per atom
polymorph energy (0 for the lowest one)	11.09	eV/f.u.
magnetic moment	0.22	μB per atom


For reference, uncorrected energy by record: -0.35976 -0.34414 -0.33318 -0.37761 -0.43355 -0.46253 -0.48886 -0.54906 -0.44282 -0.30099 -0.44744 -0.31673 -0.35573 -0.49943 -0.37857 -0.26384 -0.50517 -0.32416 -0.59396 -0.34212 Ry per atom.